[1]
Cd5Pb: single point on PBEsol structure, meta-GGA SCAN.

Lattice parameters (Å, degrees): 5.7001 5.7001 4.8634 90.00 90.00 120.00
Space group P-62m (No. 189)
Unique sites:
Cd 0.0000 0.3735 0.0000 [3 per cell]
Cd 0.3333 0.6667 0.5000 [2 per cell]
Pb 0.0000 0.0000 0.5000 [1 per cell]

Properties
Its energy relative to the lowest polymorph listed for this composition is 0.0136 eV per atom. As for the crystal system: hexagonal.


[2]
CdPb5: single point on PBEsol structure, meta-GGA SCAN.

Lattice parameters (Å, degrees): 4.904 14.503 4.851 90.00 90.00 90.00
Space group Cmmm (No. 65)
Unique sites:
Cd 0.000 0.000 0.000 [2 per cell]
Pb 0.000 0.164 0.500 [4 per cell]
Pb 0.000 0.336 0.000 [4 per cell]
Pb 0.000 0.500 0.500 [2 per cell]

Properties
As for the crystal system: orthorhombic.


[3]
Cd12Pb17: single point on PBEsol structure, meta-GGA SCAN.

Lattice parameters (Å, degrees): 11.518 11.518 11.518 90.00 90.00 90.00
Space group I-43m (No. 217)
Unique sites:
Cd 0.090 0.090 0.275 [24 per cell]
Pb 0.000 0.000 0.000 [2 per cell]
Pb 0.041 0.356 0.356 [24 per cell]
Pb 0.171 0.171 0.829 [8 per cell]

Properties
As for the crystal system: cubic.


[4]
CdPb: single point on PBEsol structure, meta-GGA SCAN.

Lattice parameters (Å, degrees): 3.576 11.806 4.927 90.00 90.00 90.00
Space group Cmcm (No. 63)
Unique sites:
Cd 0.000 0.074 0.250 [4 per cell]
Pb 0.000 0.340 0.250 [4 per cell]

Properties
As for the crystal system: orthorhombic.


[5]
Cd2Pb: single point on PBEsol structure, meta-GGA SCAN.

Lattice parameters (Å, degrees): 3.215 4.327 10.456 90.00 90.00 90.00
Space group Immm (No. 71)
Unique sites:
Cd 0.000 0.000 0.180 [4 per cell]
Pb 0.000 0.000 0.500 [2 per cell]

Properties
As for the crystal system: orthorhombic.


[6]
Cd5Pb: single point on PBEsol structure, meta-GGA SCAN.

Lattice parameters (Å, degrees): 3.209 3.209 13.020 90.00 90.00 90.00
Space group P4/mmm (No. 123)
Unique sites:
Cd 0.000 0.000 0.000 [1 per cell]
Cd 0.000 0.000 0.313 [2 per cell]
Cd 0.500 0.500 0.158 [2 per cell]
Pb 0.500 0.500 0.500 [1 per cell]

Properties
Its energy relative to the lowest polymorph listed for this composition is 0.0000 eV per atom. As for the crystal system: tetragonal.


[7]
Cd24Pb5: single point on PBEsol structure, meta-GGA SCAN.

Lattice parameters (Å, degrees): 10.950 10.950 10.950 90.00 90.00 90.00
Space group I-43m (No. 217)
Unique sites:
Cd 0.045 0.365 0.635 [24 per cell]
Cd 0.097 0.097 0.712 [24 per cell]
Pb 0.000 0.000 0.000 [2 per cell]
Pb 0.177 0.177 0.177 [8 per cell]

Properties
As for the crystal system: cubic.


[8]
CdPb: single point on PBEsol structure, meta-GGA SCAN.

Lattice parameters (Å, degrees): 3.724 5.279 10.599 90.00 90.00 90.00
Space group Imma (No. 74)
Unique sites:
Cd 0.000 0.250 0.140 [4 per cell]
Pb 0.000 0.250 0.614 [4 per cell]

Properties
As for the crystal system: orthorhombic.


[9]
Cd17Pb12: single point on PBEsol structure, meta-GGA SCAN.

Lattice parameters (Å, degrees): 11.472 11.472 11.472 90.00 90.00 90.00
Space group I-43m (No. 217)
Unique sites:
Cd 0.000 0.000 0.000 [2 per cell]
Cd 0.060 0.363 0.637 [24 per cell]
Cd 0.172 0.172 0.172 [8 per cell]
Pb 0.099 0.099 0.702 [24 per cell]

Properties
As for the crystal system: cubic.


[10]
Cd2Pb: single point on PBEsol structure, meta-GGA SCAN.

Lattice parameters (Å, degrees): 11.112 3.198 8.783 90.00 111.76 90.00
Space group C2/m (No. 12)
Unique sites:
Cd 0.025 0.000 0.243 [4 per cell]
Cd 0.155 0.500 0.047 [4 per cell]
Pb 0.164 0.500 0.610 [4 per cell]

Properties
As for the crystal system: monoclinic.


[11]
Cd4Pb: single point on PBEsol structure, meta-GGA SCAN.

Lattice parameters (Å, degrees): 7.094 7.094 4.558 90.00 90.00 90.00
Space group I4/m (No. 87)
Unique sites:
Cd 0.087 0.306 0.000 [8 per cell]
Pb 0.000 0.000 0.500 [2 per cell]

Properties
Its energy relative to the lowest polymorph listed for this composition is 0.0000 eV per atom. As for the crystal system: tetragonal.


[12]
Cd4Pb5: single point on PBEsol structure, meta-GGA SCAN.

Lattice parameters (Å, degrees): 9.833 9.833 4.870 90.00 90.00 90.00
Space group I4/mmm (No. 139)
Unique sites:
Cd 0.000 0.348 0.000 [8 per cell]
Pb 0.000 0.000 0.000 [2 per cell]
Pb 0.171 0.171 0.500 [8 per cell]

Properties
Its energy relative to the lowest polymorph listed for this composition is 0.0000 eV per atom. As for the crystal system: tetragonal.


[13]
Cd5Pb3: single point on PBEsol structure, meta-GGA SCAN.

Lattice parameters (Å, degrees): 9.166 9.185 4.671 90.00 90.00 90.00
Space group Cmmm (No. 65)
Unique sites:
Cd 0.000 0.000 0.000 [2 per cell]
Cd 0.000 0.249 0.500 [4 per cell]
Cd 0.250 0.250 0.000 [4 per cell]
Pb 0.000 0.500 0.000 [2 per cell]
Pb 0.239 0.000 0.500 [4 per cell]

Properties
Its energy relative to the lowest polymorph listed for this composition is 0.0000 eV per atom. As for the crystal system: orthorhombic.


[14]
CdPb: single point on PBEsol structure, meta-GGA SCAN.

Lattice parameters (Å, degrees): 3.321 5.524 5.678 90.00 90.00 90.00
Space group Pmmn (No. 59, origin choice 2)
Unique sites:
Cd 0.250 0.250 0.078 [2 per cell]
Pb 0.250 0.750 0.408 [2 per cell]

Properties
As for the crystal system: orthorhombic.


[15]
CdPb: single point on PBEsol structure, meta-GGA SCAN.

Lattice parameters (Å, degrees): 11.303 3.346 8.793 90.00 111.83 90.00
Space group Cm (No. 8)
Unique sites:
Cd 0.000 0.000 0.000 [2 per cell]
Cd 0.048 0.000 0.517 [2 per cell]
Cd 0.401 0.000 0.209 [2 per cell]
Pb 0.191 0.500 0.873 [2 per cell]
Pb 0.204 0.500 0.311 [2 per cell]
Pb 0.363 0.000 0.665 [2 per cell]

Properties
As for the crystal system: monoclinic.


[16]
Pm2CdPb: single point on PBEsol structure, meta-GGA SCAN.

Lattice parameters (Å, degrees): 7.582 7.582 7.582 90.00 90.00 90.00
Space group Fm-3m (No. 225)
Unique sites:
Pm 0.250 0.250 0.250 [8 per cell]
Cd 0.000 0.000 0.000 [4 per cell]
Pb 0.000 0.000 0.500 [4 per cell]

Properties
As for the crystal system: cubic.


[17]
Cd2Pt2Pb: single point on PBEsol structure, meta-GGA SCAN.

Lattice parameters (Å, degrees): 8.001 8.001 3.010 90.00 90.00 90.00
Space group P4/mbm (No. 127)
Unique sites:
Cd 0.136 0.364 0.000 [4 per cell]
Pt 0.160 0.660 0.500 [4 per cell]
Pb 0.000 0.000 0.500 [2 per cell]

Properties
As for the crystal system: tetragonal.


[18]
CdPt4Pb: single point on PBEsol structure, meta-GGA SCAN.

Lattice parameters (Å, degrees): 7.563 7.563 7.563 90.00 90.00 90.00
Space group F-43m (No. 216)
Unique sites:
Cd 0.000 0.000 0.000 [4 per cell]
Pt 0.125 0.125 0.625 [16 per cell]
Pb 0.250 0.250 0.250 [4 per cell]

Properties
As for the crystal system: cubic.


[19]
Ta2CdPtPb: single point on PBEsol structure, meta-GGA SCAN.

Lattice parameters (Å, degrees): 4.966 4.966 4.827 90.00 90.00 90.00
Space group P4/mmm (No. 123)
Unique sites:
Ta 0.000 0.500 0.000 [2 per cell]
Cd 0.000 0.000 0.000 [1 per cell]
Pt 0.000 0.000 0.500 [1 per cell]
Pb 0.500 0.500 0.500 [1 per cell]

Properties
As for the crystal system: tetragonal.


[20]
RbCd2Pb2: single point on PBEsol structure, meta-GGA SCAN.

Lattice parameters (Å, degrees): 4.959 4.959 12.677 90.00 90.00 90.00
Space group I4/mmm (No. 139)
Unique sites:
Rb 0.000 0.000 0.000 [2 per cell]
Cd 0.000 0.500 0.250 [4 per cell]
Pb 0.000 0.000 0.380 [4 per cell]

Properties
Its energy relative to the lowest polymorph listed for this composition is 0.0000 eV per atom. As for the crystal system: tetragonal.


[21]
Rb2Cd2Pb: single point on PBEsol structure, meta-GGA SCAN.

Lattice parameters (Å, degrees): 7.765 7.765 5.949 90.00 90.00 90.00
Space group P4/mbm (No. 127)
Unique sites:
Rb 0.181 0.319 0.000 [4 per cell]
Cd 0.131 0.631 0.500 [4 per cell]
Pb 0.000 0.000 0.500 [2 per cell]

Properties
As for the crystal system: tetragonal.


[22]
RbCd2Pb2: single point on PBEsol structure, meta-GGA SCAN.

Lattice parameters (Å, degrees): 9.306 9.306 3.384 90.00 90.00 90.00
Space group P4/mbm (No. 127)
Unique sites:
Rb 0.000 0.000 0.000 [2 per cell]
Cd 0.155 0.345 0.500 [4 per cell]
Pb 0.137 0.637 0.000 [4 per cell]

Properties
Its energy relative to the lowest polymorph listed for this composition is 0.1460 eV per atom. As for the crystal system: tetragonal.


[23]
CdRePb2: single point on PBEsol structure, meta-GGA SCAN.

Lattice parameters (Å, degrees): 4.557 4.557 8.180 90.00 90.00 90.00
Space group I4/mmm (No. 139)
Unique sites:
Cd 0.000 0.000 0.000 [2 per cell]
Re 0.000 0.000 0.500 [2 per cell]
Pb 0.000 0.500 0.250 [4 per cell]

Properties
As for the crystal system: tetragonal.


[24]
CdRePb: single point on PBEsol structure, meta-GGA SCAN.

Lattice parameters (Å, degrees): 6.458 6.458 6.458 90.00 90.00 90.00
Space group F-43m (No. 216)
Unique sites:
Cd 0.000 0.000 0.000 [4 per cell]
Re 0.000 0.000 0.500 [4 per cell]
Pb 0.250 0.250 0.250 [4 per cell]

Properties
As for the crystal system: cubic.


E_form (eV per atom)
0.0648, 0.0316, 0.0453, 0.0594, 0.0711, 0.0513, 0.0409, 0.0870, 0.1219, 0.0547, 0.0632, 0.0712, 0.0740, 0.0986, 0.0631, -0.6110, -0.2184, -0.1538, 1.8229, -0.2143, -0.1270, -0.0683, 0.9701, 1.4669
Magnetization (μB per cell)
0.00, 0.00, 0.00, 0.00, 0.00, 0.00, 0.00, 0.00, 0.00, 0.00, 0.00, 0.00, 0.00, 0.00, 0.00, 0.04, 0.00, 0.00, 1.21, 0.00, 0.00, 0.00, 2.87, 0.00
Electronic total energy (eV per atom)
-37.911, -68.188, -56.963, -53.038, -45.466, -37.924, -38.195, -53.011, -49.065, -45.482, -39.425, -55.547, -47.353, -52.999, -53.035, -49.153, -55.618, -64.648, -60.088, -46.840, -35.745, -46.694, -62.298, -57.631